1.
Entry from the Alexandria database: BaCa2Y after structural relaxation (PBE-GGA).

Properties
Total DFT energy (no corrections) in eV per atom: -2.937
DOS at the Fermi energy in states/eV/f.u.: 6.8
Crystal system: orthorhombic
Symmetry: No. 25

a = 3.8246 Å, b = 5.7079 Å, c = 7.8194 Å
α = 90.00°, β = 90.00°, γ = 90.00°
Closest atoms and distances in Å follow each position.
Fractional positions:
Ca 0.0000 0.0000 0.0099  2 Y 3.73-4.09, 6 Ca 3.82-3.96, 4 Ba 4.02
Ca 0.5000 0.5000 0.2607  2 Ba 3.77-4.05, 6 Ca 3.82-3.96, 4 Y 3.86
Y 0.0000 0.0000 0.4871  6 Ca 3.73-4.09, 2 Y 3.82, 4 Ba 3.97
Ba 0.5000 0.5000 0.7423  6 Ca 3.77-4.05, 2 Ba 3.82, 4 Y 3.97

2.
Entry from the Alexandria database: BaCaYb2 after structural relaxation (PBE-GGA).

Properties
Total DFT energy (no corrections) in eV per atom: -1.755
DOS at the Fermi energy in states/eV/f.u.: 34.2
Crystal system: cubic
Symmetry: No. 225

a = 6.2506 Å, b = 6.2506 Å, c = 6.2506 Å
α = 60.00°, β = 60.00°, γ = 60.00°
Closest atoms and distances in Å follow each position.
Fractional positions:
Yb 0.2500 0.2500 0.2500  4 Ba 3.83, 4 Ca 3.83
Yb 0.7500 0.7500 0.7500  4 Ba 3.83, 4 Ca 3.83
Ba 0.5000 0.5000 0.5000  8 Yb 3.83
Ca 0.0000 0.0000 0.0000  8 Yb 3.83

3.
Entry from the Alexandria database: BaCa2Zn4 after structural relaxation (PBE-GGA).

Properties
Total DFT energy (no corrections) in eV per atom: -1.781
DOS at the Fermi energy in states/eV/f.u.: 5.7
Crystal system: orthorhombic
Symmetry: No. 71

a = 4.5696 Å, b = 4.2134 Å, c = 10.4754 Å
α = 101.60°, β = 102.60°, γ = 90.00°
Closest atoms and distances in Å follow each position.
Fractional positions:
Zn 0.3557 0.3557 0.7114  2 Zn 2.68
Zn 0.9262 0.4262 0.8524  3 Zn 2.68-2.95
Zn 0.0738 0.5738 0.1476  3 Zn 2.68-2.95
Zn 0.6443 0.6443 0.2886  2 Zn 2.68
Ba 0.5000 0.0000 0.0000  12 Zn 3.44-3.57
Ca 0.8088 0.8088 0.6176  7 Zn 3.15-3.29
Ca 0.1912 0.1912 0.3824  7 Zn 3.15-3.29

4.
Entry from the Alexandria database: BaCa3Zn after structural relaxation (PBE-GGA).

Properties
Total DFT energy (no corrections) in eV per atom: -0.780
DOS at the Fermi energy in states/eV/f.u.: 5.9
Crystal system: cubic
Symmetry: No. 221

a = 6.5160 Å, b = 6.5160 Å, c = 6.5160 Å
α = 90.00°, β = 90.00°, γ = 90.00°
Closest atoms and distances in Å follow each position.
Fractional positions:
Ca 0.0000 0.0000 0.5000  2 Ba 3.26
Ca 0.0000 0.5000 0.0000  2 Ba 3.26
Ca 0.5000 0.0000 0.0000  2 Ba 3.26
Ba 0.0000 0.0000 0.0000  6 Ca 3.26
Zn 0.5000 0.5000 0.5000  12 Ca 4.61

5.
Entry from the Alexandria database: BaCa3Zn after structural relaxation (PBE-GGA).

Properties
Total DFT energy (no corrections) in eV per atom: -1.877
DOS at the Fermi energy in states/eV/f.u.: 7.7
Crystal system: cubic
Symmetry: No. 221

a = 5.9468 Å, b = 5.9468 Å, c = 5.9468 Å
α = 90.00°, β = 90.00°, γ = 90.00°
Closest atoms and distances in Å follow each position.
Fractional positions:
Ba 0.5000 0.5000 0.5000  12 Ca 4.20
Ca 0.5000 0.0000 0.0000  2 Zn 2.97
Ca 0.0000 0.5000 0.0000  2 Zn 2.97
Ca 0.0000 0.0000 0.5000  2 Zn 2.97
Zn 0.0000 0.0000 0.0000  6 Ca 2.97

6.
Entry from the Alexandria database: BaCaZn10 after structural relaxation (PBE-GGA).

Properties
Total DFT energy (no corrections) in eV per atom: -1.567
DOS at the Fermi energy in states/eV/f.u.: 7.1
Crystal system: orthorhombic
Symmetry: No. 47

a = 4.2772 Å, b = 5.5925 Å, c = 9.6462 Å
α = 90.00°, β = 90.00°, γ = 90.00°
Closest atoms and distances in Å follow each position.
Fractional positions:
Zn 0.0000 0.5000 0.1561  6 Zn 2.62-2.70
Zn 0.5000 0.7598 0.7645  8 Zn 2.65-2.91
Zn 0.0000 0.5000 0.8439  6 Zn 2.62-2.70
Zn 0.5000 0.0000 0.5000  8 Zn 2.76-2.88
Zn 0.0000 0.0000 0.6801  6 Zn 2.65-2.76
Zn 0.5000 0.5000 0.0000  8 Zn 2.62-2.70
Zn 0.5000 0.2402 0.7645  8 Zn 2.65-2.91
Zn 0.5000 0.2402 0.2355  8 Zn 2.65-2.91
Zn 0.5000 0.7598 0.2355  8 Zn 2.65-2.91
Zn 0.0000 0.0000 0.3199  6 Zn 2.65-2.76
Ba 0.0000 0.5000 0.5000  18 Zn 3.29-3.63
Ca 0.0000 0.0000 0.0000  14 Zn 3.09-3.40

7.
Entry from the Alexandria database: Ba2Ca4Zn after structural relaxation (PBE-GGA).

Properties
Total DFT energy (no corrections) in eV per atom: -1.775
DOS at the Fermi energy in states/eV/f.u.: 10.4
Crystal system: tetragonal
Symmetry: No. 139

a = 5.8610 Å, b = 5.8610 Å, c = 10.9003 Å
α = 74.40°, β = 74.40°, γ = 90.00°
Closest atoms and distances in Å follow each position.
Fractional positions:
Ca 0.1427 0.1427 0.7145  1 Zn 2.88
Ca 0.8573 0.8573 0.2855  1 Zn 2.88
Ca 0.0000 0.5000 0.0000  2 Zn 2.93
Ca 0.5000 0.0000 0.0000  2 Zn 2.93
Zn 0.0000 0.0000 0.0000  6 Ca 2.88-2.93
Ba 0.3423 0.3423 0.3154  9 Ca 4.02-4.32
Ba 0.6577 0.6577 0.6846  9 Ca 4.02-4.32

8.
Entry from the Alexandria database: Ba2Ca2Zn after structural relaxation (PBE-GGA).

Properties
Total DFT energy (no corrections) in eV per atom: -1.890
DOS at the Fermi energy in states/eV/f.u.: 4.8
Crystal system: tetragonal
Symmetry: No. 139

a = 4.1542 Å, b = 4.1542 Å, c = 12.8208 Å
α = 99.32°, β = 99.32°, γ = 90.00°
Closest atoms and distances in Å follow each position.
Fractional positions:
Zn 0.0000 0.0000 0.0000  8 Ba 3.52
Ca 0.8001 0.8001 0.6002  8 Ca 3.86-4.15, 4 Ba 4.23
Ca 0.1999 0.1999 0.3998  8 Ca 3.86-4.15, 4 Ba 4.23
Ba 0.5778 0.5778 0.1556  4 Zn 3.52, 1 Ba 3.88
Ba 0.4222 0.4222 0.8444  4 Zn 3.52, 1 Ba 3.88

Q: Which of these has the highest DOS at the Fermi energy?
A: BaCaYb2

Q: Look up the DOS at the Fermi energy of the sixth one.
A: 7.1 states/eV/f.u.